(1)
Computed, not measured: an optimized crystal structure of Ga2GePd6 at the GGA-PBE level of DFT.

Computed properties:
- formation energy (meV/atom) = -512.8

a = 8.0785 Å, b = 8.0785 Å, c = 4.1691 Å
α = 90.00°, β = 90.00°, γ = 90.00°
Closest atoms and distances in Å follow each position.
Space group P4_2/mnm (No. 136)
Unique sites:
Ga 0.2074 0.2074 0.0000 (multiplicity 4)  10 Pd 2.60-2.83
Ge 0.0000 0.0000 0.5000 (multiplicity 2)  8 Pd 2.52-2.60
Pd 0.0278 0.3200 0.5000 (multiplicity 8)  1 Ge 2.60, 3 Ga 2.60-2.70, 3 Pd 2.84-2.89
Pd 0.1247 0.8753 0.0000 (multiplicity 4)  2 Ge 2.52, 2 Ga 2.76


(2)
Computed, not measured: an optimized crystal structure of Pm5Sm3Sc2 at the GGA-PBE level of DFT.

Computed properties:
- formation energy (meV/atom) = 39.5

a = 9.4230 Å, b = 9.4241 Å, c = 9.4349 Å
α = 106.58°, β = 106.79°, γ = 115.15°
Closest atoms and distances in Å follow each position.
Space group P-1 (No. 2)
Unique sites:
Pm 0.0216 0.0745 0.3456 (multiplicity 2)  5 Sm 3.53-3.60, 2 Sc 3.55-3.56, 5 Pm 3.59-3.63
Pm 0.1306 0.3806 0.7502 (multiplicity 2)  5 Pm 3.50-3.62, 3 Sm 3.50-3.60, 4 Sc 3.51-3.53
Pm 0.2287 0.6760 0.1542 (multiplicity 2)  5 Sm 3.53-3.59, 5 Pm 3.54-3.63, 2 Sc 3.55-3.57
Pm 0.3793 0.1290 0.2497 (multiplicity 2)  6 Sm 3.51-3.64, 4 Pm 3.52-3.61, 2 Sc 3.56-3.57
Pm 0.4735 0.4272 0.6521 (multiplicity 2)  6 Pm 3.50-3.60, 4 Sc 3.53-3.65, 2 Sm 3.53-3.60
Sm 0.0789 0.2296 0.0525 (multiplicity 2)  8 Pm 3.53-3.63, 2 Sc 3.56, 2 Sm 3.60-3.63
Sm 0.2753 0.8216 0.8482 (multiplicity 2)  5 Pm 3.50-3.59, 4 Sc 3.52-3.64, 3 Sm 3.53-3.60
Sm 0.3226 0.9732 0.5526 (multiplicity 2)  8 Pm 3.53-3.64, 2 Sm 3.53-3.63, 2 Sc 3.56
Sc 0.1693 0.5233 0.4505 (multiplicity 2)  1 Sc 3.47, 7 Pm 3.51-3.65, 4 Sm 3.52-3.56
Sc 0.4270 0.2801 0.9502 (multiplicity 2)  1 Sc 3.48, 7 Pm 3.51-3.56, 4 Sm 3.56-3.64


(3)
Computed, not measured: an optimized crystal structure of Sm3Pb2C at the GGA-PBE level of DFT.

Computed properties:
- formation energy (meV/atom) = -320.3

a = 3.8177 Å, b = 25.0803 Å, c = 7.1148 Å
α = 90.00°, β = 90.00°, γ = 90.00°
Closest atoms and distances in Å follow each position.
Space group Cmcm (No. 63)
Unique sites:
Sm 0.0000 0.0955 0.0019 (multiplicity 8)  1 C 2.26
Sm 0.0000 0.2936 0.2500 (multiplicity 4)  2 C 2.37
Pb 0.0000 0.3194 0.7500 (multiplicity 4)  8 Sm 3.36-3.62
Pb 0.0000 0.4972 0.2500 (multiplicity 4)  8 Sm 3.50-3.58, 4 Pb 3.56-3.82
C 0.0000 0.1503 0.7500 (multiplicity 4)  4 Sm 2.26-2.37


(4)
Computed, not measured: an optimized crystal structure of BIr2N at the GGA-PBE level of DFT.

Computed properties:
- ΔE_f (raw) (eV per atom) = 0.989

a = 5.5001 Å, b = 5.5001 Å, c = 5.5001 Å
α = 90.00°, β = 90.00°, γ = 90.00°
Closest atoms and distances in Å follow each position.
Space group Fm-3m (No. 225)
Unique sites:
B 0.0000 0.0000 0.0000 (multiplicity 4)  8 Ir 2.38
Ir 0.2500 0.2500 0.2500 (multiplicity 8)  4 B 2.38, 4 N 2.38
N 0.0000 0.0000 0.5000 (multiplicity 4)  8 Ir 2.38


(5)
Computed, not measured: an optimized crystal structure of CuTc2Hg at the GGA-PBE level of DFT.

Computed properties:
- formation energy (meV/atom) = 557.8

a = 3.2509 Å, b = 3.2509 Å, c = 6.0625 Å
α = 90.00°, β = 90.00°, γ = 90.00°
Closest atoms and distances in Å follow each position.
Space group P4/mmm (No. 123)
Unique sites:
Cu 0.0000 0.0000 0.0000 (multiplicity 1)  8 Tc 2.58
Tc 0.5000 0.5000 0.1922 (multiplicity 2)  1 Tc 2.33, 4 Cu 2.58
Hg 0.0000 0.0000 0.5000 (multiplicity 1)  8 Tc 2.96, 2 Cu 3.03, 4 Hg 3.25


(6)
Computed, not measured: an optimized crystal structure of AcLa2Eu at the GGA-PBE level of DFT.

Computed properties:
- formation energy (meV/atom) = 34.3

a = 3.8484 Å, b = 3.8484 Å, c = 37.5561 Å
α = 90.00°, β = 90.00°, γ = 120.00°
Closest atoms and distances in Å follow each position.
Space group R-3m (No. 166, hexagonal axes)
Unique sites:
Ac 0.0000 0.0000 0.0000 (multiplicity 3)  6 La 3.82, 6 Ac 3.85
La 0.0000 0.0000 0.2506 (multiplicity 6)  3 Ac 3.82, 6 La 3.85, 3 Eu 3.86
Eu 0.0000 0.0000 0.5000 (multiplicity 3)  6 Eu 3.85, 6 La 3.86


(7)
Computed, not measured: an optimized crystal structure of ScFe2Pt at the GGA-PBE level of DFT.

Computed properties:
- formation energy (meV/atom) = -180.6

a = 2.8092 Å, b = 4.0530 Å, c = 5.2778 Å
α = 90.00°, β = 90.00°, γ = 90.00°
Closest atoms and distances in Å follow each position.
Space group Pmmm (No. 47)
Unique sites:
Sc 0.0000 0.0000 0.0000 (multiplicity 1)  2 Pt 2.64, 2 Sc 2.81, 8 Fe 2.81
Fe 0.5000 0.5000 0.2557 (multiplicity 2)  4 Fe 2.58-2.81, 4 Pt 2.78, 4 Sc 2.81
Pt 0.0000 0.0000 0.5000 (multiplicity 1)  2 Sc 2.64, 8 Fe 2.78, 2 Pt 2.81


(8)
Computed, not measured: an optimized crystal structure of Cs2TmNpO6 at the GGA-PBE level of DFT.

Computed properties:
- ΔE_f (raw) (eV per atom) = -2.609

a = 6.4533 Å, b = 6.4533 Å, c = 31.0807 Å
α = 90.00°, β = 90.00°, γ = 120.00°
Closest atoms and distances in Å follow each position.
Space group R-3m (No. 166, hexagonal axes)
Unique sites:
Cs 0.0000 0.0000 0.1310 (multiplicity 6)  12 O 3.25-3.39
Cs 0.0000 0.0000 0.2764 (multiplicity 6)  9 O 3.02-3.29
Tm 0.0000 0.0000 0.4010 (multiplicity 6)  6 O 2.24-2.31
Np 0.0000 0.0000 0.0000 (multiplicity 3)  6 O 2.05
Np 0.0000 0.0000 0.5000 (multiplicity 3)  6 O 2.03
O 0.0276 0.5138 0.7033 (multiplicity 18)  1 Np 2.05, 1 Tm 2.24
O 0.0604 0.5302 0.1236 (multiplicity 18)  1 Np 2.03


(9)
Computed, not measured: an optimized crystal structure of MnZnFeHg2 at the GGA-PBE level of DFT.

Computed properties:
- formation energy (meV/atom) = 776.0

a = 4.9961 Å, b = 4.9961 Å, c = 4.6213 Å
α = 90.00°, β = 90.00°, γ = 90.00°
Closest atoms and distances in Å follow each position.
Space group P4/mmm (No. 123)
Unique sites:
Mn 0.0000 0.0000 0.0000 (multiplicity 1)  8 Hg 3.40, 4 Zn 3.53
Zn 0.5000 0.5000 0.0000 (multiplicity 1)  2 Fe 2.31
Fe 0.5000 0.5000 0.5000 (multiplicity 1)  2 Zn 2.31, 4 Hg 2.50
Hg 0.0000 0.5000 0.5000 (multiplicity 2)  2 Fe 2.50


(10)
Computed, not measured: an optimized crystal structure of BeCu2AgTe at the GGA-PBE level of DFT.

Computed properties:
- ΔE_f (raw) (eV per atom) = 0.444

a = 4.3306 Å, b = 4.3306 Å, c = 4.5091 Å
α = 90.00°, β = 90.00°, γ = 90.00°
Closest atoms and distances in Å follow each position.
Space group P4/mmm (No. 123)
Unique sites:
Be 0.0000 0.0000 0.0000 (multiplicity 1)  4 Cu 2.17, 2 Ag 2.25
Cu 0.0000 0.5000 0.0000 (multiplicity 2)  2 Be 2.17
Ag 0.0000 0.0000 0.5000 (multiplicity 1)  2 Be 2.25
Te 0.5000 0.5000 0.5000 (multiplicity 1)  4 Ag 3.06, 8 Cu 3.13


(11)
Computed, not measured: an optimized crystal structure of CeReSi2Mo at the GGA-PBE level of DFT.

Computed properties:
- ΔE_f (raw) (eV per atom) = -0.450

a = 4.0597 Å, b = 4.0597 Å, c = 10.8227 Å
α = 90.00°, β = 90.00°, γ = 90.00°
Closest atoms and distances in Å follow each position.
Space group I-4m2 (No. 119)
Unique sites:
Ce 0.0000 0.0000 0.0000 (multiplicity 2)  8 Si 3.12, 4 Mo 3.38, 4 Re 3.38
Re 0.0000 0.5000 0.7500 (multiplicity 2)  4 Si 2.51
Si 0.0000 0.0000 0.3860 (multiplicity 4)  1 Si 2.47, 2 Mo 2.51, 2 Re 2.51
Mo 0.0000 0.5000 0.2500 (multiplicity 2)  4 Si 2.51


(12)
Computed, not measured: an optimized crystal structure of Pu2TiNb at the GGA-PBE level of DFT.

Computed properties:
- formation energy (meV/atom) = 351.8

a = 5.1814 Å, b = 5.1814 Å, c = 3.1325 Å
α = 90.00°, β = 90.00°, γ = 90.00°
Closest atoms and distances in Å follow each position.
Space group P4/mmm (No. 123)
Unique sites:
Pu 0.0000 0.5000 0.0000 (multiplicity 2)  4 Nb 3.03, 4 Ti 3.03, 2 Pu 3.13
Ti 0.0000 0.0000 0.5000 (multiplicity 1)  8 Pu 3.03, 2 Ti 3.13
Nb 0.5000 0.5000 0.5000 (multiplicity 1)  8 Pu 3.03, 2 Nb 3.13


(13)
Computed, not measured: an optimized crystal structure of SrLiNd2S4 at the GGA-PBE level of DFT.

Computed properties:
- ΔE_f (raw) (eV per atom) = -1.924

a = 4.0485 Å, b = 13.5146 Å, c = 14.0586 Å
α = 90.00°, β = 90.00°, γ = 90.00°
Closest atoms and distances in Å follow each position.
Space group Cmcm (No. 63)
Unique sites:
Sr 0.0000 0.1155 0.2500 (multiplicity 4)  6 S 3.06-3.11
Li 0.0000 0.1536 0.7500 (multiplicity 4)  4 S 2.40-2.43
Nd 0.0000 0.3705 0.0568 (multiplicity 8)  6 S 2.79-2.94
S 0.0000 0.0000 0.0000 (multiplicity 4)  4 Nd 2.79
S 0.0000 0.2717 0.6221 (multiplicity 8)  1 Li 2.40
S 0.0000 0.4455 0.2500 (multiplicity 4)  2 Li 2.43


(14)
Computed, not measured: an optimized crystal structure of La3TbHoTm at the GGA-PBE level of DFT.

Computed properties:
- formation energy (meV/atom) = 27.8

a = 10.8979 Å, b = 3.6391 Å, c = 10.9183 Å
α = 90.00°, β = 109.59°, γ = 90.00°
Closest atoms and distances in Å follow each position.
Space group P2_1/m (No. 11)
Unique sites:
La 0.0430 0.2500 0.3702 (multiplicity 2)  1 Ho 3.60, 2 Tm 3.61, 2 Tb 3.62, 7 La 3.64-3.74
La 0.2945 0.7500 0.6232 (multiplicity 2)  3 Ho 3.60-3.62, 7 La 3.64-3.70, 2 Tb 3.74
La 0.4533 0.7500 0.1253 (multiplicity 2)  1 Tm 3.58, 2 Ho 3.60, 3 Tb 3.60-3.75, 6 La 3.64-3.70
Tb 0.2046 0.2500 0.8800 (multiplicity 2)  3 Tm 3.55-3.57, 7 La 3.60-3.75, 2 Tb 3.64
Ho 0.3737 0.2500 0.3727 (multiplicity 2)  6 La 3.60-3.62, 4 Ho 3.64-3.67, 2 Tm 3.65
Tm 0.1230 0.7500 0.1210 (multiplicity 2)  3 Tb 3.55-3.57, 4 Tm 3.57-3.64, 3 La 3.58-3.61, 2 Ho 3.65


(15)
Computed, not measured: an optimized crystal structure of AlTeOs at the GGA-PBE level of DFT.

Computed properties:
- ΔE_f (raw) (eV per atom) = 0.361

a = 13.6136 Å, b = 3.1220 Å, c = 5.4062 Å
α = 90.00°, β = 90.00°, γ = 90.00°
Closest atoms and distances in Å follow each position.
Space group Amm2 (No. 38)
Unique sites:
Al 0.0000 0.0000 0.0000 (multiplicity 2)  6 Os 2.65
Al 0.5000 0.0000 0.0012 (multiplicity 2)  6 Al 3.12, 6 Te 3.36
Te 0.2920 0.0000 0.6670 (multiplicity 4)  3 Os 2.72
Os 0.1425 0.0000 0.3336 (multiplicity 4)  3 Al 2.65, 3 Te 2.72


(16)
Computed, not measured: an optimized crystal structure of LuIn5 at the GGA-PBE level of DFT.

Computed properties:
- formation energy (meV/atom) = -146.9

a = 4.5951 Å, b = 14.6604 Å, c = 4.5393 Å
α = 90.00°, β = 90.00°, γ = 90.00°
Closest atoms and distances in Å follow each position.
Space group Cmmm (No. 65)
Unique sites:
Lu 0.0000 0.0000 0.0000 (multiplicity 2)  12 In 3.23-3.33
In 0.0000 0.1666 0.5000 (multiplicity 4)  10 In 3.23-3.38, 2 Lu 3.33
In 0.0000 0.3376 0.0000 (multiplicity 4)  10 In 3.23-3.45, 2 Lu 3.31
In 0.0000 0.5000 0.5000 (multiplicity 2)  4 Lu 3.23, 8 In 3.29-3.35


(17)
Computed, not measured: an optimized crystal structure of K6RbNa23 at the GGA-PBE level of DFT.

Computed properties:
- formation energy (meV/atom) = 28.0

a = 17.5920 Å, b = 17.5920 Å, c = 17.5920 Å
α = 90.00°, β = 90.00°, γ = 90.00°
Closest atoms and distances in Å follow each position.
Space group Fm-3m (No. 225)
Unique sites:
K 0.0000 0.0000 0.2336 (multiplicity 24)  12 Na 3.96-4.41, 1 Rb 4.11
Rb 0.0000 0.0000 0.0000 (multiplicity 4)  6 K 4.11
Na 0.0000 0.0000 0.5000 (multiplicity 4)  8 Na 3.73
Na 0.0000 0.2500 0.2500 (multiplicity 24)  8 Na 3.59-3.84
Na 0.1223 0.1223 0.3777 (multiplicity 32)  7 Na 3.73-3.84, 3 K 3.96
Na 0.1714 0.1714 0.1714 (multiplicity 32)  9 Na 3.59-3.91


(18)
Computed, not measured: an optimized crystal structure of RbCd2AsRh at the GGA-PBE level of DFT.

Computed properties:
- formation energy (meV/atom) = -141.2

a = 5.3401 Å, b = 5.3401 Å, c = 4.7838 Å
α = 90.00°, β = 90.00°, γ = 90.00°
Closest atoms and distances in Å follow each position.
Space group P4/mmm (No. 123)
Unique sites:
Rb 0.0000 0.0000 0.0000 (multiplicity 1)  8 Cd 3.58, 4 As 3.78
Cd 0.0000 0.5000 0.5000 (multiplicity 2)  2 Rh 2.67
As 0.5000 0.5000 0.0000 (multiplicity 1)  2 Rh 2.39
Rh 0.5000 0.5000 0.5000 (multiplicity 1)  2 As 2.39, 4 Cd 2.67


(19)
Computed, not measured: an optimized crystal structure of LaFe2CN at the GGA-PBE level of DFT.

Computed properties:
- ΔE_f (raw) (eV per atom) = 0.219

a = 3.6660 Å, b = 3.6660 Å, c = 5.6821 Å
α = 90.00°, β = 90.00°, γ = 90.00°
Closest atoms and distances in Å follow each position.
Space group P4/mmm (No. 123)
Unique sites:
La 0.0000 0.0000 0.0000 (multiplicity 1)  4 N 2.59, 2 C 2.84
Fe 0.0000 0.5000 0.5000 (multiplicity 2)  2 C 1.83
C 0.0000 0.0000 0.5000 (multiplicity 1)  4 Fe 1.83
N 0.5000 0.5000 0.0000 (multiplicity 1)  4 La 2.59


(20)
Computed, not measured: an optimized crystal structure of Ho5Al2Tl2 at the GGA-PBE level of DFT.

Computed properties:
- formation energy (meV/atom) = -323.0

a = 16.1210 Å, b = 7.8591 Å, c = 7.7506 Å
α = 90.00°, β = 90.00°, γ = 90.00°
Closest atoms and distances in Å follow each position.
Space group Cmce (No. 64)
Unique sites:
Ho 0.0000 0.0000 0.0000 (multiplicity 4)  4 Al 3.09-3.14
Ho 0.1312 0.1857 0.3225 (multiplicity 16)  3 Al 3.06-3.22, 3 Tl 3.14-3.22
Al 0.0000 0.1178 0.6195 (multiplicity 8)  1 Al 2.62
Tl 0.2189 0.0000 0.0000 (multiplicity 8)  6 Ho 3.14-3.22


(21)
Computed, not measured: an optimized crystal structure of Pr3Ga2Os at the GGA-PBE level of DFT.

Computed properties:
- formation energy (meV/atom) = -390.5

a = 12.4077 Å, b = 4.4596 Å, c = 11.3433 Å
α = 90.00°, β = 90.00°, γ = 90.00°
Closest atoms and distances in Å follow each position.
Space group Pnma (No. 62)
Unique sites:
Pr 0.0521 0.2500 0.1152 (multiplicity 4)  1 Os 2.92, 4 Ga 3.11-3.26
Pr 0.1173 0.7500 0.5543 (multiplicity 4)  3 Os 3.05-3.11, 5 Ga 3.12-3.24
Pr 0.2309 0.2500 0.7876 (multiplicity 4)  2 Os 3.05, 4 Ga 3.14-3.23
Ga 0.0163 0.7500 0.3020 (multiplicity 4)  2 Os 2.65
Ga 0.2037 0.7500 0.9872 (multiplicity 4)  1 Os 2.64
Os 0.1167 0.2500 0.3630 (multiplicity 4)  3 Ga 2.64-2.65, 1 Pr 2.92